# LiHfTaRe, optimized geometry, DFT PBE
data_LiHfTaRe
_cell_length_a 4.565
_cell_length_b 4.565
_cell_length_c 4.565
_cell_angle_alpha 60.00
_cell_angle_beta 60.00
_cell_angle_gamma 60.00
_symmetry_space_group_name_H-M 'P 1'
_symmetry_Int_Tables_number 1
loop_
_symmetry_equiv_pos_as_xyz
'x,y,z'
loop_
_atom_site_label
_atom_site_type_symbol
_atom_site_fract_x
_atom_site_fract_y
_atom_site_fract_z
_atom_site_occupancy
Re1 Re 0.500 0.500 0.500 1
Li1 Li 0.000 0.000 0.000 1
Hf1 Hf 0.750 0.750 0.750 1
Ta1 Ta 0.250 0.250 0.250 1
# Energy of formation from the pure elements = -113.4 meV/atom